A plane-wave DFT calculation with GGA-PBE was carried out for a relaxed structure of CsMgNbTe3.

The structure in POSCAR format:
```
CsMgNbTe3
1.0
3.4962 7.6593 3.1339
-4.3281 -7.7919 1.1239
9.7146 -5.1454 1.7378
Nb Te Cs Mg
2 6 2 2
Direct
0.0000 0.0000 0.5000
0.0000 0.0000 0.0000
0.3882 0.6118 0.4623
0.9332 0.0668 0.7500
0.3882 0.6118 0.0377
0.0668 0.9332 0.2500
0.6118 0.3882 0.5377
0.6118 0.3882 0.9623
0.2467 0.7533 0.7500
0.7533 0.2467 0.2500
0.4686 0.5314 0.2500
0.5314 0.4686 0.7500
```

Properties
space-group type: No. 63

---

A plane-wave DFT calculation with GGA-PBE was carried out for a relaxed structure of NaGa2CuTe4.

The structure in POSCAR format:
```
NaGa2CuTe4
1.0
7.2045 -0.6494 -2.2595
2.3046 6.9784 -1.8500
-3.3567 -2.4955 6.3196
Te Cu Ga Na
4 1 2 1
Direct
0.8801 0.8414 0.4925
0.6124 0.1199 0.9613
0.1586 0.6511 0.0387
0.3489 0.3876 0.5075
0.5000 0.5000 0.0000
0.2500 0.7500 0.5000
0.0000 0.0000 0.0000
0.7500 0.2500 0.5000
```

Properties
space-group type: No. 82

---

A plane-wave DFT calculation with GGA-PBE was carried out for a relaxed structure of ZrBSb2.

The structure in POSCAR format:
```
ZrBSb2
1.0
0.0000 3.4854 3.4854
3.4854 0.0000 3.4854
3.4854 3.4854 0.0000
Sb B Zr
2 1 1
Direct
0.7500 0.7500 0.7500
0.0000 0.0000 0.0000
0.5000 0.5000 0.5000
0.2500 0.2500 0.2500
```

Properties
space-group type: No. 216

---

How do the records compare in density? In the order shown, they have 4.99, 4.89, 6.78 g/cm³.
How do the records compare in final energy? In the order shown, they have -4.265, -3.348, -5.032 eV per atom.